Here is an optimized crystal structure of Rb2BaSN from the Alexandria database. Energies are from GGA-PBE.

Computed properties:
- total DFT energy (no corrections) (eV/atom) = -3.019
- total magnetization (μB per cell) = 0.0
- ΔE_f (raw) (eV per atom) = 0.243

The structure in extended XYZ format:
```
5
Lattice="4.9140 0.0000 0.0000 0.0000 4.9140 0.0000 0.0000 0.0000 12.2841" Properties=species:S:1:pos:R:3 pbc="T T T"
Rb 0.0000 2.4570 0.0000
Rb 2.4570 0.0000 0.0000
Ba 0.0000 0.0000 6.1421
S 2.4570 2.4570 6.1421
N 2.4570 2.4570 0.0000
```